{"formula": "Tl2In2Si", "functional": "PBE", "state": "optimized geometry", "lattice": [[-3.418, -5.378, -3.312], [-0.610, -3.467, 6.259], [-4.796, 2.487, 0.910]], "species": ["Si", "Si", "In", "In", "In", "In", "Tl", "Tl", "Tl", "Tl"], "fractional_positions": [[0.500, 0.500, 0.000], [0.000, 0.000, 0.000], [0.646, 0.146, 0.000], [0.146, 0.354, 0.000], [0.854, 0.646, 0.000], [0.354, 0.854, 0.000], [0.328, 0.172, 0.500], [0.672, 0.828, 0.500], [0.828, 0.328, 0.500], [0.172, 0.672, 0.500]], "sg": "No. 127", "final_energy_ev_per_cell": -28.971, "raw_formation_energy_ev_per_fu": 1.1}